Material: SmTh2CuN4
Method: DFT, GGA-PBE
State: relaxed

Cell: 6.1415 6.1415 11.9372 Å, 90.00 90.00 145.79°
Fractional positions:
Sm: 0.1010 0.8990 0.7500
Sm: 0.8990 0.1010 0.2500
Th: 0.3689 0.6311 0.5602
Th: 0.3689 0.6311 0.9398
Th: 0.6311 0.3689 0.0602
Th: 0.6311 0.3689 0.4398
Cu: 0.1648 0.8352 0.2500
Cu: 0.8352 0.1648 0.7500
N: 0.0000 0.0000 0.0000
N: 0.0000 0.0000 0.5000
N: 0.2667 0.7333 0.1152
N: 0.2667 0.7333 0.3848
N: 0.4576 0.5424 0.7500
N: 0.5424 0.4576 0.2500
N: 0.7333 0.2667 0.6152
N: 0.7333 0.2667 0.8848

final energy = -8.30 eV/atom
SG = Cmcm (63)

---

Material: SmZr2CuN4
Method: DFT, GGA-PBE
State: relaxed

Cell: 5.7182 5.7182 11.2345 Å, 90.00 90.00 146.35°
Fractional positions:
Sm: 0.1067 0.8933 0.7500
Sm: 0.8933 0.1067 0.2500
Zr: 0.3669 0.6331 0.5560
Zr: 0.3669 0.6331 0.9440
Zr: 0.6331 0.3669 0.0560
Zr: 0.6331 0.3669 0.4440
Cu: 0.1566 0.8434 0.2500
Cu: 0.8434 0.1566 0.7500
N: 0.0000 0.0000 0.0000
N: 0.0000 0.0000 0.5000
N: 0.2670 0.7330 0.1104
N: 0.2670 0.7330 0.3896
N: 0.4513 0.5487 0.7500
N: 0.5487 0.4513 0.2500
N: 0.7330 0.2670 0.6104
N: 0.7330 0.2670 0.8896

final energy = -8.63 eV/atom
Fermi-level density of states = 0.0608 states/eV per atom
SG = Cmcm (63)

---

Material: CuSnN2
Method: DFT, GGA-PBE
State: relaxed

Cell: 5.8709 5.8709 5.8709 Å, 132.47 132.47 69.49°
Fractional positions:
Cu: 0.0000 0.0000 0.0000
Cu: 0.7500 0.2500 0.5000
Sn: 0.2500 0.7500 0.5000
Sn: 0.5000 0.5000 0.0000
N: 0.1092 0.6250 0.9842
N: 0.3750 0.3592 0.4842
N: 0.6408 0.1250 0.0158
N: 0.8750 0.8908 0.5158

final energy = -5.71 eV/atom
Fermi-level density of states = 1.0171 states/eV per atom
SG = I-42d (122)

---

Material: Cu2SnN
Method: DFT, GGA-PBE
State: relaxed

Cell: 6.5322 6.5322 6.5322 Å, 135.86 135.86 64.20°
Fractional positions:
Cu: 0.3750 0.1582 0.2832
Cu: 0.8418 0.1250 0.2168
Cu: 0.8750 0.0918 0.7168
Cu: 0.9082 0.6250 0.7832
Sn: 0.2500 0.7500 0.5000
Sn: 0.5000 0.5000 0.0000
N: 0.0000 0.0000 0.0000
N: 0.7500 0.2500 0.5000

ΔE to the lowest computed polymorph = 0.00 eV/f.u.
final energy = -4.75 eV/atom
Fermi-level density of states = 0.3671 states/eV per atom
SG = I-42d (122)

---

Number 1: formation energy without anion corrections -1181 meV per atom, magnetization 0.00 μB/f.u.. Number 2: formation energy without anion corrections -1225 meV per atom, magnetization 0.00 μB/f.u.. Number 3: formation energy without anion corrections 479 meV per atom, magnetization 0.00 μB/f.u.. Number 4: formation energy without anion corrections 383 meV per atom, magnetization 0.00 μB/f.u..